A plane-wave DFT calculation with PBE was carried out for a relaxed structure of NdScZnCd.

abc: 3.5242 3.5242 7.5469
angles: 90.00 90.00 90.00
Space group P4mm (No. 99)
Inequivalent atoms, fractional coordinates:
Nd  0.0000  0.0000  0.0000 x1
Sc  0.0000  0.0000  0.5400 x1
Zn  0.5000  0.5000  0.7330 x1
Cd  0.5000  0.5000  0.3024 x1

Calculated values
As for the density of states at the Fermi level: 3.9 states/eV/cell. The value obtained for the energy relative to the lowest polymorph listed for this composition is 0.000 eV per atom. For the calculated total energy, the calculation gives -3.64 eV per atom. Its formation enthalpy at 0 K is -313 meV per atom.



A plane-wave DFT calculation with PBE was carried out for a relaxed structure of AgBrF2.

abc: 5.4654 8.7827 3.3537
angles: 90.00 90.00 90.00
Space group Pmmn (No. 59, origin choice 2)
Inequivalent atoms, fractional coordinates:
Ag  0.2500  0.2500  0.0046 x2
Br  0.2500  0.7500  0.9965 x2
F  0.2500  0.1020  0.5046 x4

Calculated values
As for the density of states at the Fermi level: 6.9 states/eV/cell. The value obtained for the energy relative to the lowest polymorph listed for this composition is 0.181 eV per atom. The value obtained for the uncorrected formation energy is -2.48 eV per formula unit. For the calculated total energy, the calculation gives -2.69 eV per atom.



A plane-wave DFT calculation with PBE was carried out for a relaxed structure of La3Nd5Pb2.

abc: 13.2523 15.9665 6.7162
angles: 90.00 90.00 90.00
Space group Ibam (No. 72)
Inequivalent atoms, fractional coordinates:
La  0.0000  0.0000  0.2500 x4
La  0.1293  0.2276  0.0000 x8
Nd  0.0000  0.5000  0.2500 x4
Nd  0.0920  0.3396  0.5000 x8
Nd  0.2475  0.5000  0.2500 x8
Pb  0.1381  0.1500  0.5000 x8

Calculated values
As for the density of states at the Fermi level: 53.3 states/eV/cell. For the calculated total energy, the calculation gives -4.67 eV per atom. Its formation enthalpy at 0 K is -61 meV per atom.



A plane-wave DFT calculation with PBE was carried out for a relaxed structure of Y2NiHPt.

abc: 4.8777 4.8777 3.6534
angles: 90.00 90.00 90.00
Space group P4/mmm (No. 123)
Inequivalent atoms, fractional coordinates:
Y  0.0000  0.5000  0.0000 x2
Ni  0.0000  0.0000  0.5000 x1
H  0.5000  0.5000  0.0000 x1
Pt  0.5000  0.5000  0.5000 x1

Calculated values
As for the density of states at the Fermi level: 2.3 states/eV/cell. The value obtained for the energy relative to the lowest polymorph listed for this composition is 0.126 eV per atom. For the calculated total energy, the calculation gives -6.26 eV per atom.



A plane-wave DFT calculation with PBE was carried out for a relaxed structure of CaErSbPd.

abc: 7.2831 7.2831 7.2831
angles: 90.00 90.00 90.00
Space group F-43m (No. 216)
Inequivalent atoms, fractional coordinates:
Ca  0.0000  0.0000  0.0000 x4
Er  0.0000  0.0000  0.5000 x4
Sb  0.2500  0.2500  0.7500 x4
Pd  0.2500  0.2500  0.2500 x4

Calculated values
As for the density of states at the Fermi level: 5.2 states/eV/cell. The value obtained for the uncorrected formation energy is -3.23 eV per formula unit. For the calculated total energy, the calculation gives -4.78 eV per atom.



A plane-wave DFT calculation with PBE was carried out for a relaxed structure of Na2HgPd2O6.

abc: 5.4856 9.8570 5.7644
angles: 90.00 107.77 90.00
Space group C2/m (No. 12)
Inequivalent atoms, fractional coordinates:
Na  0.0000  0.1604  0.0000 x4
Hg  0.0000  0.0000  0.5000 x2
Pd  0.0000  0.3352  0.5000 x4
O  0.1985  0.5000  0.7019 x4
O  0.2448  0.1915  0.7012 x8

Calculated values
The value obtained for the uncorrected formation energy is -7.60 eV per formula unit. For the calculated total energy, the calculation gives -4.61 eV per atom.